No. 1
Here is a relaxed structure of CsTiAgSe3 from Alexandria. Energies are from PBE.

Output
Uncorrected formation energy in meV/atom: -717.8
Calculated density in g cm⁻³: 4.3
Volume in Å³ per cell: 814

Cell lengths 10.814, 9.117, 8.463 Å; angles 90.00, 102.54, 90.00 degrees
Space group C2/m (No. 12)
One atom of each set of equivalent atoms:
1 Cs 0.214 0.000 0.062 [4 per cell]
2 Ti 0.104 0.500 0.367 [4 per cell]
3 Ag 0.000 0.239 0.500 [4 per cell]
4 Se 0.013 0.293 0.210 [8 per cell]
5 Se 0.177 0.000 0.583 [4 per cell]


No. 2
Here is a relaxed structure of Cs2NaGa from Alexandria. Energies are from PBE.

Output
Formation enthalpy at 0 K in eV per atom: 0.170
Calculated density in g cm⁻³: 2.1
Volume in Å³ per cell: 1149

Cell lengths 13.872, 13.872, 5.969 Å; angles 90.00, 90.00, 90.00 degrees
Space group I-42d (No. 122)
One atom of each set of equivalent atoms:
1 Cs 0.075 0.750 0.125 [8 per cell]
2 Na 0.000 0.000 0.500 [4 per cell]
3 Ga 0.000 0.000 0.000 [4 per cell]


No. 3
Here is a relaxed structure of GaCuO3 from Alexandria. Energies are from PBE.

Output
Uncorrected formation energy in meV/atom: -861.9
Calculated density in g cm⁻³: 5.7
Volume in Å³ per cell: 318

Cell lengths 5.0940, 5.0940, 14.1458 Å; angles 90.00, 90.00, 120.00 degrees
Space group R-3c (No. 167, hexagonal axes)
One atom of each set of equivalent atoms:
1 Ga 0.0000 0.0000 0.0000 [6 per cell]
2 Cu 0.0000 0.0000 0.2500 [6 per cell]
3 O 0.0000 0.3609 0.2500 [18 per cell]